No. 1
# PBE SnGeTe2, relaxed
# Total energy = -46.81 eV per cell
# Formation energy without anion corrections = -175 meV/atom
# Crystal system = trigonal
# ΔE to the lowest computed polymorph = 0 meV per atom
data_SnGeTe2
_chemical_formula_sum 'Sn3 Ge3 Te6'
_symmetry_space_group_name_H-M 'R -3 m'
_symmetry_Int_Tables_number 166
_symmetry_space_group_name_Hall '-R 3 2"'
_cell_length_a 4.3818
_cell_length_b 4.3818
_cell_length_c 21.5504
_cell_angle_alpha 90.00
_cell_angle_beta 90.00
_cell_angle_gamma 120.00
loop_
_atom_site_label
_atom_site_fract_x
_atom_site_fract_y
_atom_site_fract_z
_atom_site_occupancy
Sn1 0.0000 0.0000 0.0000 1
Ge1 0.0000 0.0000 0.5000 1
Te1 0.0000 0.0000 0.2440 1

No. 2
# PBE SnGe2Te6, relaxed
# Total energy = -129.21 eV per cell
# Formation energy without anion corrections = -24 meV/atom
# Crystal system = monoclinic
data_SnGe2Te6
_chemical_formula_sum 'Sn4 Ge8 Te24'
_symmetry_space_group_name_H-M 'C 1 2/c 1'
_symmetry_Int_Tables_number 15
_symmetry_space_group_name_Hall '-C 2yc'
_cell_length_a 13.086
_cell_length_b 12.823
_cell_length_c 7.369
_cell_angle_alpha 90.00
_cell_angle_beta 102.79
_cell_angle_gamma 90.00
loop_
_atom_site_label
_atom_site_fract_x
_atom_site_fract_y
_atom_site_fract_z
_atom_site_occupancy
Sn1 0.000 0.124 0.250 1
Ge1 0.180 0.439 0.225 1
Te1 0.113 0.070 0.673 1
Te2 0.119 0.382 0.535 1
Te3 0.140 0.279 0.985 1

No. 3
# PBE Sn2GeTe3, relaxed
# Total energy = -93.21 eV per cell
# Formation energy without anion corrections = -209 meV/atom
# Crystal system = monoclinic
# ΔE to the lowest computed polymorph = 1 meV per atom
data_Sn2GeTe3
_chemical_formula_sum 'Sn8 Ge4 Te12'
_symmetry_space_group_name_H-M 'P 1 m 1'
_symmetry_Int_Tables_number 6
_symmetry_space_group_name_Hall 'P -2y'
_cell_length_a 12.673
_cell_length_b 4.419
_cell_length_c 13.610
_cell_angle_alpha 90.00
_cell_angle_beta 91.57
_cell_angle_gamma 90.00
loop_
_atom_site_label
_atom_site_fract_x
_atom_site_fract_y
_atom_site_fract_z
_atom_site_occupancy
Sn1 0.000 0.000 0.000 1
Sn2 0.000 0.000 0.334 1
Sn3 0.003 0.000 0.669 1
Sn4 0.255 0.500 0.161 1
Sn5 0.257 0.500 0.503 1
Sn6 0.501 0.000 0.005 1
Sn7 0.503 0.000 0.339 1
Sn8 0.505 0.000 0.672 1
Ge1 0.266 0.500 0.831 1
Ge2 0.757 0.500 0.155 1
Ge3 0.759 0.500 0.490 1
Ge4 0.763 0.500 0.822 1
Te1 0.244 0.000 0.003 1
Te2 0.244 0.000 0.347 1
Te3 0.247 0.000 0.690 1
Te4 0.490 0.500 0.847 1
Te5 0.498 0.500 0.180 1
Te6 0.499 0.500 0.514 1
Te7 0.745 0.000 0.017 1
Te8 0.746 0.000 0.352 1
Te9 0.748 0.000 0.685 1
Te10 0.984 0.500 0.176 1
Te11 0.986 0.500 0.510 1
Te12 0.986 0.500 0.843 1

No. 4
# PBE SnGe2Te2, relaxed
# Total energy = -37.44 eV per cell
# Formation energy without anion corrections = 160 meV/atom
# Crystal system = tetragonal
# ΔE to the lowest computed polymorph = 37 meV per atom
data_SnGe2Te2
_chemical_formula_sum 'Sn2 Ge4 Te4'
_symmetry_space_group_name_H-M 'P 4/m b m'
_symmetry_Int_Tables_number 127
_symmetry_space_group_name_Hall '-P 4 2ab'
_cell_length_a 8.551
_cell_length_b 8.551
_cell_length_c 3.880
_cell_angle_alpha 90.00
_cell_angle_beta 90.00
_cell_angle_gamma 90.00
loop_
_atom_site_label
_atom_site_fract_x
_atom_site_fract_y
_atom_site_fract_z
_atom_site_occupancy
Sn1 0.000 0.000 0.000 1
Ge1 0.177 0.323 0.500 1
Te1 0.158 0.658 0.000 1

No. 5
# PBE SnGeTe2, relaxed
# Total energy = -46.43 eV per cell
# Formation energy without anion corrections = -143 meV/atom
# Crystal system = trigonal
# ΔE to the lowest computed polymorph = 31 meV per atom
data_SnGeTe2
_chemical_formula_sum 'Sn3 Ge3 Te6'
_symmetry_space_group_name_H-M 'R 3 m'
_symmetry_Int_Tables_number 160
_symmetry_space_group_name_Hall 'R 3 -2"'
_cell_length_a 4.2553
_cell_length_b 4.2553
_cell_length_c 24.4563
_cell_angle_alpha 90.00
_cell_angle_beta 90.00
_cell_angle_gamma 120.00
loop_
_atom_site_label
_atom_site_fract_x
_atom_site_fract_y
_atom_site_fract_z
_atom_site_occupancy
Sn1 0.0000 0.0000 0.0000 1
Ge1 0.0000 0.0000 0.1737 1
Te1 0.0000 0.0000 0.5956 1
Te2 0.0000 0.0000 0.7811 1

No. 6
# PBE Sn2GeTe3, relaxed
# Total energy = -46.55 eV per cell
# Formation energy without anion corrections = -204 meV/atom
# Crystal system = orthorhombic
# ΔE to the lowest computed polymorph = 6 meV per atom
data_Sn2GeTe3
_chemical_formula_sum 'Sn4 Ge2 Te6'
_symmetry_space_group_name_H-M 'I m m m'
_symmetry_Int_Tables_number 71
_symmetry_space_group_name_Hall '-I 2 2'
_cell_length_a 4.421
_cell_length_b 6.285
_cell_length_c 13.333
_cell_angle_alpha 90.00
_cell_angle_beta 90.00
_cell_angle_gamma 90.00
loop_
_atom_site_label
_atom_site_fract_x
_atom_site_fract_y
_atom_site_fract_z
_atom_site_occupancy
Sn1 0.000 0.000 0.169 1
Ge1 0.000 0.000 0.500 1
Te1 0.000 0.500 0.156 1
Te2 0.000 0.500 0.500 1

No. 7
# PBE SnGeTe2, relaxed
# Total energy = -57.70 eV per cell
# Formation energy without anion corrections = 119 meV/atom
# Crystal system = cubic
# ΔE to the lowest computed polymorph = 294 meV per atom
data_SnGeTe2
_chemical_formula_sum 'Sn4 Ge4 Te8'
_symmetry_space_group_name_H-M 'F m -3 m'
_symmetry_Int_Tables_number 225
_symmetry_space_group_name_Hall '-F 4 2 3'
_cell_length_a 7.579
_cell_length_b 7.579
_cell_length_c 7.579
_cell_angle_alpha 90.00
_cell_angle_beta 90.00
_cell_angle_gamma 90.00
loop_
_atom_site_label
_atom_site_fract_x
_atom_site_fract_y
_atom_site_fract_z
_atom_site_occupancy
Sn1 0.000 0.000 0.000 1
Ge1 0.000 0.000 0.500 1
Te1 0.250 0.250 0.250 1

No. 8
# PBE SnGeTe2, relaxed
# Total energy = -61.43 eV per cell
# Formation energy without anion corrections = -114 meV/atom
# Crystal system = orthorhombic
# ΔE to the lowest computed polymorph = 61 meV per atom
data_SnGeTe2
_chemical_formula_sum 'Sn4 Ge4 Te8'
_symmetry_space_group_name_H-M 'P n m a'
_symmetry_Int_Tables_number 62
_symmetry_space_group_name_Hall '-P 2ac 2n'
_cell_length_a 6.477
_cell_length_b 4.322
_cell_length_c 19.593
_cell_angle_alpha 90.00
_cell_angle_beta 90.00
_cell_angle_gamma 90.00
loop_
_atom_site_label
_atom_site_fract_x
_atom_site_fract_y
_atom_site_fract_z
_atom_site_occupancy
Sn1 0.165 0.250 0.058 1
Ge1 0.181 0.750 0.336 1
Te1 0.118 0.750 0.163 1
Te2 0.130 0.250 0.427 1

No. 9
# PBE SnGe4Te5, relaxed
# Total energy = -78.47 eV per cell
# Formation energy without anion corrections = -105 meV/atom
# Crystal system = orthorhombic
data_SnGe4Te5
_chemical_formula_sum 'Sn2 Ge8 Te10'
_symmetry_space_group_name_H-M 'I m m m'
_symmetry_Int_Tables_number 71
_symmetry_space_group_name_Hall '-I 2 2'
_cell_length_a 4.294
_cell_length_b 6.102
_cell_length_c 21.554
_cell_angle_alpha 90.00
_cell_angle_beta 90.00
_cell_angle_gamma 90.00
loop_
_atom_site_label
_atom_site_fract_x
_atom_site_fract_y
_atom_site_fract_z
_atom_site_occupancy
Sn1 0.000 0.000 0.000 1
Ge1 0.000 0.000 0.202 1
Ge2 0.000 0.000 0.398 1
Te1 0.000 0.500 0.000 1
Te2 0.000 0.500 0.198 1
Te3 0.000 0.500 0.393 1

No. 10
# PBE SnGe2Te, relaxed
# Total energy = -61.50 eV per cell
# Formation energy without anion corrections = 251 meV/atom
# Crystal system = tetragonal
# ΔE to the lowest computed polymorph = 0 meV per atom
data_SnGe2Te
_chemical_formula_sum 'Sn4 Ge8 Te4'
_symmetry_space_group_name_H-M 'I -4 2 d'
_symmetry_Int_Tables_number 122
_symmetry_space_group_name_Hall 'I -4 2bw'
_cell_length_a 6.125
_cell_length_b 6.125
_cell_length_c 14.169
_cell_angle_alpha 90.00
_cell_angle_beta 90.00
_cell_angle_gamma 90.00
loop_
_atom_site_label
_atom_site_fract_x
_atom_site_fract_y
_atom_site_fract_z
_atom_site_occupancy
Sn1 0.000 0.000 0.000 1
Ge1 0.238 0.250 0.125 1
Te1 0.000 0.000 0.500 1

No. 11
# PBE SnGe2Te4, relaxed
# Total energy = -26.42 eV per cell
# Formation energy without anion corrections = -87 meV/atom
# Crystal system = triclinic
# ΔE to the lowest computed polymorph = 0 meV per atom
data_SnGe2Te4
_chemical_formula_sum 'Sn1 Ge2 Te4'
_symmetry_space_group_name_H-M 'P -1'
_symmetry_Int_Tables_number 2
_symmetry_space_group_name_Hall '-P 1'
_cell_length_a 4.104
_cell_length_b 7.271
_cell_length_c 8.329
_cell_angle_alpha 64.46
_cell_angle_beta 75.79
_cell_angle_gamma 89.93
loop_
_atom_site_label
_atom_site_fract_x
_atom_site_fract_y
_atom_site_fract_z
_atom_site_occupancy
Sn1 0.000 0.000 0.000 1
Ge1 0.251 0.282 0.499 1
Te1 0.130 0.470 0.742 1
Te2 0.368 0.038 0.264 1

No. 12
# PBE Sn2GeTe3, relaxed
# Total energy = -23.31 eV per cell
# Formation energy without anion corrections = -210 meV/atom
# Crystal system = trigonal
# ΔE to the lowest computed polymorph = 0 meV per atom
data_Sn2GeTe3
_chemical_formula_sum 'Sn2 Ge1 Te3'
_symmetry_space_group_name_H-M 'P -3 m 1'
_symmetry_Int_Tables_number 164
_symmetry_space_group_name_Hall '-P 3 2"'
_cell_length_a 4.4281
_cell_length_b 4.4281
_cell_length_c 10.8852
_cell_angle_alpha 90.00
_cell_angle_beta 90.00
_cell_angle_gamma 120.00
loop_
_atom_site_label
_atom_site_fract_x
_atom_site_fract_y
_atom_site_fract_z
_atom_site_occupancy
Sn1 0.3333 0.6667 0.3260 1
Ge1 0.0000 0.0000 0.0000 1
Te1 0.0000 0.0000 0.5000 1
Te2 0.3333 0.6667 0.8486 1

No. 13
# PBE Sn4GeTe5, relaxed
# Total energy = -116.19 eV per cell
# Formation energy without anion corrections = -239 meV/atom
# Crystal system = trigonal
data_Sn4GeTe5
_chemical_formula_sum 'Sn12 Ge3 Te15'
_symmetry_space_group_name_H-M 'R -3 m'
_symmetry_Int_Tables_number 166
_symmetry_space_group_name_Hall '-R 3 2"'
_cell_length_a 4.4662
_cell_length_b 4.4662
_cell_length_c 54.9147
_cell_angle_alpha 90.00
_cell_angle_beta 90.00
_cell_angle_gamma 120.00
loop_
_atom_site_label
_atom_site_fract_x
_atom_site_fract_y
_atom_site_fract_z
_atom_site_occupancy
Sn1 0.0000 0.0000 0.1026 1
Sn2 0.0000 0.0000 0.2991 1
Ge1 0.0000 0.0000 0.5000 1
Te1 0.0000 0.0000 0.0000 1
Te2 0.0000 0.0000 0.1964 1
Te3 0.0000 0.0000 0.4017 1

No. 14
# PBE SnGe2Te, relaxed
# Total energy = -61.08 eV per cell
# Formation energy without anion corrections = 277 meV/atom
# Crystal system = cubic
# ΔE to the lowest computed polymorph = 26 meV per atom
data_SnGe2Te
_chemical_formula_sum 'Sn4 Ge8 Te4'
_symmetry_space_group_name_H-M 'F m -3 m'
_symmetry_Int_Tables_number 225
_symmetry_space_group_name_Hall '-F 4 2 3'
_cell_length_a 7.240
_cell_length_b 7.240
_cell_length_c 7.240
_cell_angle_alpha 90.00
_cell_angle_beta 90.00
_cell_angle_gamma 90.00
loop_
_atom_site_label
_atom_site_fract_x
_atom_site_fract_y
_atom_site_fract_z
_atom_site_occupancy
Sn1 0.000 0.000 0.000 1
Ge1 0.250 0.250 0.250 1
Te1 0.000 0.000 0.500 1

No. 15
# PBE Sn3GeTe4, relaxed
# Total energy = -30.93 eV per cell
# Formation energy without anion corrections = -217 meV/atom
# Crystal system = tetragonal
data_Sn3GeTe4
_chemical_formula_sum 'Sn3 Ge1 Te4'
_symmetry_space_group_name_H-M 'P 4/m m m'
_symmetry_Int_Tables_number 123
_symmetry_space_group_name_Hall '-P 4 2'
_cell_length_a 4.466
_cell_length_b 4.466
_cell_length_c 12.613
_cell_angle_alpha 90.00
_cell_angle_beta 90.00
_cell_angle_gamma 90.00
loop_
_atom_site_label
_atom_site_fract_x
_atom_site_fract_y
_atom_site_fract_z
_atom_site_occupancy
Sn1 0.000 0.000 0.000 1
Sn2 0.500 0.500 0.253 1
Ge1 0.000 0.000 0.500 1
Te1 0.000 0.000 0.259 1
Te2 0.500 0.500 0.000 1
Te3 0.500 0.500 0.500 1

No. 16
# PBE SnGe2Te2, relaxed
# Total energy = -37.75 eV per cell
# Formation energy without anion corrections = 129 meV/atom
# Crystal system = tetragonal
# ΔE to the lowest computed polymorph = 6 meV per atom
data_SnGe2Te2
_chemical_formula_sum 'Sn2 Ge4 Te4'
_symmetry_space_group_name_H-M 'I 4/m m m'
_symmetry_Int_Tables_number 139
_symmetry_space_group_name_Hall '-I 4 2'
_cell_length_a 3.884
_cell_length_b 3.884
_cell_length_c 17.732
_cell_angle_alpha 90.00
_cell_angle_beta 90.00
_cell_angle_gamma 90.00
loop_
_atom_site_label
_atom_site_fract_x
_atom_site_fract_y
_atom_site_fract_z
_atom_site_occupancy
Sn1 0.000 0.000 0.000 1
Ge1 0.000 0.500 0.250 1
Te1 0.000 0.000 0.393 1

No. 17
# PBE Sn2Ge4Te, relaxed
# Total energy = -50.54 eV per cell
# Formation energy without anion corrections = 621 meV/atom
# Crystal system = tetragonal
data_Sn2Ge4Te
_chemical_formula_sum 'Sn4 Ge8 Te2'
_symmetry_space_group_name_H-M 'I 4/m m m'
_symmetry_Int_Tables_number 139
_symmetry_space_group_name_Hall '-I 4 2'
_cell_length_a 5.424
_cell_length_b 5.424
_cell_length_c 14.322
_cell_angle_alpha 90.00
_cell_angle_beta 90.00
_cell_angle_gamma 90.00
loop_
_atom_site_label
_atom_site_fract_x
_atom_site_fract_y
_atom_site_fract_z
_atom_site_occupancy
Sn1 0.000 0.000 0.109 1
Ge1 0.000 0.000 0.299 1
Ge2 0.000 0.500 0.000 1
Te1 0.000 0.000 0.500 1

No. 18
# PBE SnGeTe4, relaxed
# Total energy = -42.79 eV per cell
# Formation energy without anion corrections = -35 meV/atom
# Crystal system = monoclinic
data_SnGeTe4
_chemical_formula_sum 'Sn2 Ge2 Te8'
_symmetry_space_group_name_H-M 'C 1 2/m 1'
_symmetry_Int_Tables_number 12
_symmetry_space_group_name_Hall '-C 2y'
_cell_length_a 13.244
_cell_length_b 4.414
_cell_length_c 7.356
_cell_angle_alpha 90.00
_cell_angle_beta 123.34
_cell_angle_gamma 90.00
loop_
_atom_site_label
_atom_site_fract_x
_atom_site_fract_y
_atom_site_fract_z
_atom_site_occupancy
Sn1 0.000 0.000 0.000 1
Ge1 0.000 0.500 0.500 1
Te1 0.151 0.000 0.494 1
Te2 0.152 0.500 0.980 1

No. 19
# PBE Sn2GeTe, relaxed
# Total energy = -60.70 eV per cell
# Formation energy without anion corrections = 147 meV/atom
# Crystal system = tetragonal
# ΔE to the lowest computed polymorph = 159 meV per atom
data_Sn2GeTe
_chemical_formula_sum 'Sn8 Ge4 Te4'
_symmetry_space_group_name_H-M 'I -4 2 d'
_symmetry_Int_Tables_number 122
_symmetry_space_group_name_Hall 'I -4 2bw'
_cell_length_a 7.119
_cell_length_b 7.119
_cell_length_c 11.160
_cell_angle_alpha 90.00
_cell_angle_beta 90.00
_cell_angle_gamma 90.00
loop_
_atom_site_label
_atom_site_fract_x
_atom_site_fract_y
_atom_site_fract_z
_atom_site_occupancy
Sn1 0.213 0.250 0.125 1
Ge1 0.000 0.000 0.000 1
Te1 0.000 0.000 0.500 1

No. 20
# PBE SnGe2Te4, relaxed
# Total energy = -104.48 eV per cell
# Formation energy without anion corrections = -45 meV/atom
# Crystal system = orthorhombic
# ΔE to the lowest computed polymorph = 42 meV per atom
data_SnGe2Te4
_chemical_formula_sum 'Sn4 Ge8 Te16'
_symmetry_space_group_name_H-M 'C m c m'
_symmetry_Int_Tables_number 63
_symmetry_space_group_name_Hall '-C 2c 2'
_cell_length_a 4.263
_cell_length_b 14.234
_cell_length_c 13.506
_cell_angle_alpha 90.00
_cell_angle_beta 90.00
_cell_angle_gamma 90.00
loop_
_atom_site_label
_atom_site_fract_x
_atom_site_fract_y
_atom_site_fract_z
_atom_site_occupancy
Sn1 0.000 0.082 0.250 1
Ge1 0.000 0.360 0.056 1
Te1 0.000 0.000 0.000 1
Te2 0.000 0.267 0.633 1
Te3 0.000 0.433 0.250 1